(1)
A plane-wave DFT calculation with PBE was carried out for a relaxed structure of NbSi3Bi.

Summary:
E_form (uncorrected)   2097.3 meV/atom
Density of states at the Fermi level   2.2798 states/eV/atom
E   -3.947 eV/atom

Cell lengths 5.152, 5.152, 5.152 Å; angles 90.00, 90.00, 90.00 degrees
Space group Pm-3m (No. 221)
Symmetry-distinct sites (fractional):
Nb1 0.000 0.000 0.000 x1
Si1 0.000 0.500 0.500 x3
Bi1 0.500 0.500 0.500 x1

---

(2)
A plane-wave DFT calculation with PBE was carried out for a relaxed structure of SmPa4Se5.

Summary:
E_form (uncorrected)   -1315.9 meV/atom
Density of states at the Fermi level   1.6743 states/eV/atom
E   -7.328 eV/atom

Cell lengths 14.025, 3.940, 10.178 Å; angles 90.00, 121.04, 90.00 degrees
Space group C2/m (No. 12)
Symmetry-distinct sites (fractional):
Sm1 0.000 0.000 0.000 x2
Pa1 0.098 0.500 0.401 x4
Pa2 0.201 0.000 0.794 x4
Se1 0.000 0.000 0.500 x2
Se2 0.103 0.500 0.900 x4
Se3 0.198 0.000 0.303 x4

---

(3)
A plane-wave DFT calculation with PBE was carried out for a relaxed structure of Pm4CoGe8.

Summary:
ΔE_f   -0.635 eV/atom
Density of states at the Fermi level   0.4047 states/eV/atom
E   -5.485 eV/atom

Cell lengths 4.069, 4.182, 16.550 Å; angles 90.00, 90.00, 90.00 degrees
Space group Pmm2 (No. 25)
Symmetry-distinct sites (fractional):
Pm1 0.000 0.000 0.000 x1
Pm2 0.000 0.500 0.499 x1
Pm3 0.500 0.000 0.210 x1
Pm4 0.500 0.500 0.709 x1
Co1 0.500 0.000 0.414 x1
Ge1 0.000 0.000 0.348 x1
Ge2 0.000 0.000 0.654 x1
Ge3 0.000 0.500 0.154 x1
Ge4 0.000 0.500 0.856 x1
Ge5 0.500 0.000 0.556 x1
Ge6 0.500 0.000 0.852 x1
Ge7 0.500 0.500 0.054 x1
Ge8 0.500 0.500 0.347 x1

---

(4)
A plane-wave DFT calculation with PBE was carried out for a relaxed structure of MgCd3In6.

Summary:
ΔE_f   0.023 eV/atom
Density of states at the Fermi level   0.3291 states/eV/atom
E   -2.054 eV/atom

Cell lengths 9.823, 17.521, 6.002 Å; angles 90.00, 90.00, 90.00 degrees
Space group Cmc2_1 (No. 36)
Symmetry-distinct sites (fractional):
Mg1 0.000 0.222 0.000 x4
Cd1 0.000 0.393 0.978 x4
Cd2 0.155 0.107 0.273 x8
In1 0.000 0.062 0.746 x4
In2 0.000 0.311 0.525 x4
In3 0.172 0.463 0.400 x8
In4 0.243 0.202 0.684 x8

---

(5)
A plane-wave DFT calculation with PBE was carried out for a relaxed structure of CaGa2Ag.

Summary:
ΔE_f   -0.304 eV/atom
Density of states at the Fermi level   0.4322 states/eV/atom
E   -3.031 eV/atom

Cell lengths 4.4562, 4.4562, 15.5730 Å; angles 90.00, 90.00, 120.00 degrees
Space group R-3m (No. 166, hexagonal axes)
Symmetry-distinct sites (fractional):
Ca1 0.0000 0.0000 0.0000 x3
Ga1 0.0000 0.0000 0.2152 x6
Ag1 0.0000 0.0000 0.5000 x3

---

(6)
A plane-wave DFT calculation with PBE was carried out for a relaxed structure of Ac4AgTe2Ir.

Summary:
E_form (uncorrected)   -975.9 meV/atom
Density of states at the Fermi level   0.4609 states/eV/atom
E   -5.280 eV/atom

Cell lengths 7.833, 4.480, 8.485 Å; angles 90.00, 107.22, 90.00 degrees
Space group P2/m (No. 10)
Symmetry-distinct sites (fractional):
Ac1 0.222 0.000 0.213 x2
Ac2 0.239 0.500 0.780 x2
Ag1 0.500 0.000 0.000 x1
Te1 0.000 0.000 0.500 x1
Te2 0.500 0.500 0.500 x1
Ir1 0.000 0.500 0.000 x1

---

Question: Among the records above, which one has the lowest density of states at the Fermi level?
Answer: MgCd3In6

---

Question: The highest density of states at the Fermi level belongs to which entry?
Answer: NbSi3Bi